{"formula": "NpCrBiO6", "functional": "GGA+U", "state": "optimized geometry", "cell": [[-2.1593, -2.8491, 4.0448], [5.0667, -0.9772, -1.5857], [3.3718, 6.7948, 6.5863]], "species": ["Np", "Np", "Cr", "Cr", "Bi", "Bi", "O", "O", "O", "O", "O", "O", "O", "O", "O", "O", "O", "O"], "fractional_positions": [[0.6667, 0.3333, 0.2500], [0.3333, 0.6667, 0.7500], [0.3333, 0.6667, 0.2500], [0.6667, 0.3333, 0.7500], [0.0000, 0.0000, 0.0000], [0.0000, 0.0000, 0.5000], [0.6380, 0.6450, 0.1404], [0.0070, 0.3620, 0.1404], [0.3620, 0.0070, 0.6404], [0.9930, 0.6380, 0.8596], [0.3550, 0.3620, 0.3596], [0.0070, 0.6450, 0.3596], [0.6450, 0.0070, 0.8596], [0.6380, 0.9930, 0.3596], [0.9930, 0.3550, 0.6404], [0.3550, 0.9930, 0.1404], [0.6450, 0.6380, 0.6404], [0.3620, 0.3550, 0.8596]], "mass_density_g_cm3": 7.78, "final_energy_ha_per_atom": -0.299, "magmom_total_mub_per_fu": 4.000}